# 1
LuScInNi | PBE | optimized geometry

Unit cell a=6.7842 b=6.7842 c=6.7842 alpha=90.00 beta=90.00 gamma=90.00
With the nearest neighbours (Å) after each atom.
Positions (direct):
Lu  0.0000  0.0000  0.0000  4 Ni 2.94, 4 Sc 2.94
Lu  0.0000  0.5000  0.5000  4 Ni 2.94, 4 Sc 2.94
Lu  0.5000  0.0000  0.5000  4 Ni 2.94, 4 Sc 2.94
Lu  0.5000  0.5000  0.0000  4 Ni 2.94, 4 Sc 2.94
Sc  0.2500  0.2500  0.2500  4 In 2.94, 4 Lu 2.94
Sc  0.2500  0.7500  0.7500  4 In 2.94, 4 Lu 2.94
Sc  0.7500  0.2500  0.7500  4 In 2.94, 4 Lu 2.94
Sc  0.7500  0.7500  0.2500  4 In 2.94, 4 Lu 2.94
In  0.0000  0.0000  0.5000  4 Sc 2.94, 4 Ni 2.94
In  0.0000  0.5000  0.0000  4 Sc 2.94, 4 Ni 2.94
In  0.5000  0.0000  0.0000  4 Sc 2.94, 4 Ni 2.94
In  0.5000  0.5000  0.5000  4 Sc 2.94, 4 Ni 2.94
Ni  0.2500  0.2500  0.7500  4 In 2.94, 4 Lu 2.94
Ni  0.2500  0.7500  0.2500  4 In 2.94, 4 Lu 2.94
Ni  0.7500  0.2500  0.2500  4 In 2.94, 4 Lu 2.94
Ni  0.7500  0.7500  0.7500  4 Lu 2.94, 4 In 2.94

Computed properties:
Offset from the most stable computed form ... 0.00 kcal/mol of atoms

# 2
KNaLu | PBE | optimized geometry

Unit cell a=8.4315 b=8.4315 c=8.4315 alpha=90.00 beta=90.00 gamma=90.00
With the nearest neighbours (Å) after each atom.
Positions (direct):
K  0.0000  0.0000  0.0000  4 Lu 3.65
K  0.0000  0.5000  0.5000  4 Lu 3.65
K  0.5000  0.0000  0.5000  4 Lu 3.65
K  0.5000  0.5000  0.0000  4 Lu 3.65
Na  0.0000  0.0000  0.5000  4 Lu 3.65
Na  0.0000  0.5000  0.0000  4 Lu 3.65
Na  0.5000  0.0000  0.0000  4 Lu 3.65
Na  0.5000  0.5000  0.5000  4 Lu 3.65
Lu  0.2500  0.2500  0.2500  4 K 3.65, 4 Na 3.65
Lu  0.2500  0.7500  0.7500  4 K 3.65, 4 Na 3.65
Lu  0.7500  0.2500  0.7500  4 K 3.65, 4 Na 3.65
Lu  0.7500  0.7500  0.2500  4 K 3.65, 4 Na 3.65

Computed properties:
Offset from the most stable computed form ... 0.00 kcal/mol of atoms

# 3
PrGaCl | PBE | optimized geometry

Unit cell a=7.3154 b=4.2229 c=11.1434 alpha=90.00 beta=102.73 gamma=90.00
With the nearest neighbours (Å) after each atom.
Positions (direct):
Pr  0.0664  0.0000  0.1980  3 Cl 2.93, 3 Ga 3.06
Pr  0.4336  0.5000  0.8020  3 Cl 2.93, 3 Ga 3.06
Pr  0.5664  0.5000  0.1980  3 Cl 2.93, 3 Ga 3.06
Pr  0.9336  0.0000  0.8020  3 Cl 2.93, 3 Ga 3.06
Ga  0.1573  0.5000  0.9722  3 Ga 2.51
Ga  0.3427  0.0000  0.0278  3 Ga 2.51
Ga  0.6573  0.0000  0.9722  3 Ga 2.51
Ga  0.8427  0.5000  0.0278  3 Ga 2.51
Cl  0.2168  0.0000  0.6532  3 Pr 2.93
Cl  0.2832  0.5000  0.3468  3 Pr 2.93
Cl  0.7168  0.5000  0.6532  3 Pr 2.93
Cl  0.7832  0.0000  0.3468  3 Pr 2.93

Computed properties:
E ... -4.63 eV per atom

# 4
TmMgAuSe3 | PBE | optimized geometry

Unit cell a=6.8700 b=6.8700 c=10.6173 alpha=90.00 beta=90.00 gamma=147.62
With the nearest neighbours (Å) after each atom.
Positions (direct):
Tm  0.0000  0.0000  0.0000  6 Se 2.84-3.08
Tm  0.0000  0.0000  0.5000  6 Se 2.84-3.08
Mg  0.2209  0.7791  0.7500  6 Se 2.86-2.91
Mg  0.7791  0.2209  0.2500  6 Se 2.86-2.91
Au  0.4753  0.5247  0.2500  4 Se 2.59-2.69
Au  0.5247  0.4753  0.7500  4 Se 2.59-2.69
Se  0.1180  0.8820  0.2500  2 Au 2.69, 2 Mg 2.86
Se  0.3494  0.6506  0.0632  1 Au 2.59, 2 Tm 2.84
Se  0.3494  0.6506  0.4368  1 Au 2.59, 2 Tm 2.84
Se  0.6506  0.3494  0.5632  1 Au 2.59, 2 Tm 2.84
Se  0.6506  0.3494  0.9368  1 Au 2.59, 2 Tm 2.84
Se  0.8820  0.1180  0.7500  2 Au 2.69, 2 Mg 2.86

Computed properties:
Offset from the most stable computed form ... 1.37 kcal/mol of atoms

# 5
Y2Hf4As3C3 | PBE | optimized geometry

Unit cell a=6.1091 b=6.1091 c=13.2714 alpha=103.33 beta=103.33 gamma=60.09
With the nearest neighbours (Å) after each atom.
Positions (direct):
Y  0.0365  0.8738  0.6077  3 C 2.48-2.56
Y  0.1262  0.9635  0.8923  3 C 2.48-2.56
Y  0.8738  0.0365  0.1077  3 C 2.48-2.56
Y  0.9635  0.1262  0.3923  3 C 2.48-2.56
Hf  0.2003  0.3624  0.0962  3 C 2.29-2.38
Hf  0.2982  0.4703  0.4038  3 C 2.29-2.38
Hf  0.3624  0.2003  0.5962  3 C 2.29-2.38
Hf  0.4703  0.2982  0.9038  3 C 2.29-2.38
Hf  0.5297  0.7018  0.0962  3 C 2.29-2.38
Hf  0.6376  0.7997  0.4038  3 C 2.29-2.38
Hf  0.7018  0.5297  0.5962  3 C 2.29-2.38
Hf  0.7997  0.6376  0.9038  3 C 2.29-2.38
As  0.0834  0.2747  0.7515  4 Hf 2.77-2.79, 2 Y 2.83-2.84
As  0.2747  0.0834  0.2515  4 Hf 2.77-2.79, 2 Y 2.83-2.84
As  0.4385  0.5615  0.7500  4 Hf 2.79, 2 Y 2.84
As  0.5615  0.4385  0.2500  4 Hf 2.79, 2 Y 2.84
As  0.7253  0.9166  0.7485  4 Hf 2.77-2.79, 2 Y 2.83-2.84
As  0.9166  0.7253  0.2485  4 Hf 2.77-2.79, 2 Y 2.83-2.84
C  0.0000  0.5000  0.5000  4 Hf 2.37, 2 Y 2.48
C  0.1801  0.6394  0.0000  4 Hf 2.29-2.38, 2 Y 2.55-2.56
C  0.3606  0.8199  0.5000  4 Hf 2.29-2.38, 2 Y 2.55-2.56
C  0.5000  0.0000  0.0000  4 Hf 2.37, 2 Y 2.48
C  0.6394  0.1801  0.5000  4 Hf 2.29-2.38, 2 Y 2.55-2.56
C  0.8199  0.3606  0.0000  4 Hf 2.29-2.38, 2 Y 2.55-2.56

Computed properties:
E ... -8.74 eV per atom

# 6
NpReGe | PBE | optimized geometry

Unit cell a=6.3877 b=6.3877 c=6.3877 alpha=90.00 beta=90.00 gamma=90.00
With the nearest neighbours (Å) after each atom.
Positions (direct):
Np  0.0000  0.0000  0.0000  4 Re 2.77, 4 Ge 2.77
Np  0.0000  0.5000  0.5000  4 Re 2.77, 4 Ge 2.77
Np  0.5000  0.0000  0.5000  4 Re 2.77, 4 Ge 2.77
Np  0.5000  0.5000  0.0000  4 Re 2.77, 4 Ge 2.77
Re  0.2500  0.2500  0.2500  4 Np 2.77
Re  0.2500  0.7500  0.7500  4 Np 2.77
Re  0.7500  0.2500  0.7500  4 Np 2.77
Re  0.7500  0.7500  0.2500  4 Np 2.77
Ge  0.2500  0.2500  0.7500  4 Np 2.77
Ge  0.2500  0.7500  0.2500  4 Np 2.77
Ge  0.7500  0.2500  0.2500  4 Np 2.77
Ge  0.7500  0.7500  0.7500  4 Np 2.77

Computed properties:
E ... -8.93 eV per atom

In μB/f.u., the magnetization values for the records above are, in order, 0.91; 0.13; 0.00; 0.00; 0.02; 2.18.
In kg/m³, the density values for the records above are, in order, 8369; 2627; 4868; 7760; 9250; 12636.